# Sb2As, PBEsol geometry, DFT meta-GGA SCAN
data_Sb2As
_chemical_formula_sum 'Sb2 As1'
_cell_length_a 4.1563
_cell_length_b 4.1563
_cell_length_c 5.1112
_cell_angle_alpha 90.00
_cell_angle_beta 90.00
_cell_angle_gamma 120.00
_symmetry_space_group_name_H-M 'P -3 m 1'
_symmetry_Int_Tables_number 164
_symmetry_space_group_name_Hall '-P 3 2"'
loop_
_atom_site_label
_atom_site_fract_x
_atom_site_fract_y
_atom_site_fract_z
_atom_site_occupancy
Sb1 0.3333 0.6667 0.3179 1
As1 0.0000 0.0000 0.0000 1
# Calculated volume ... 76.5 Å³ per cell
# Formation energy without anion corrections ... 0.057 eV per atom
# Offset from the most stable computed form ... 0 meV/atom